Below is an optimized crystal structure of CsRb3Cd, with properties calculated at the PBEsol level.

It has space group Pm-3m (No. 221), with a = 7.229 Å, b = 7.229 Å, c = 7.229 Å, α = 90.00°, β = 90.00° and γ = 90.00°. The asymmetric unit holds Cs at (0.000, 0.000, 0.000), Rb at (0.000, 0.500, 0.500) and Cd at (0.500, 0.500, 0.500).

As for the formation energy from the elements: 0.06 eV per atom. The polymorph energy (0 for the lowest one) comes out at 0 meV/atom.

=====

Below is an optimized crystal structure of SbPbC2Br, with properties calculated at the PBEsol level.

It has space group P4/mmm (No. 123), with a = 4.445 Å, b = 4.445 Å, c = 5.332 Å, α = 90.00°, β = 90.00° and γ = 90.00°. The asymmetric unit holds Sb at (0.000, 0.000, 0.000), Pb at (0.500, 0.500, 0.000), C at (0.000, 0.500, 0.500) and Br at (0.000, 0.000, 0.500).

For the uncorrected formation energy, the calculation gives 2551 meV/atom.

=====

Below is an optimized crystal structure of MnZnSBr2, with properties calculated at the PBEsol level.

It has space group P4/mmm (No. 123), with a = 5.441 Å, b = 5.441 Å, c = 4.425 Å, α = 90.00°, β = 90.00° and γ = 90.00°. The asymmetric unit holds Mn at (0.000, 0.000, 0.000), Zn at (0.500, 0.500, 0.000), S at (0.000, 0.000, 0.500) and Br at (0.000, 0.500, 0.500).

For the uncorrected formation energy, the calculation gives 392 meV/atom.

=====

Below is an optimized crystal structure of CaMnTe2, with properties calculated at the PBEsol level.

It has space group P-3m1 (No. 164), with a = 4.2060 Å, b = 4.2060 Å, c = 7.0660 Å, α = 90.00°, β = 90.00° and γ = 120.00°. The asymmetric unit holds Ca at (0.0000, 0.0000, 0.0000), Mn at (0.0000, 0.0000, 0.5000) and Te at (0.3333, 0.6667, 0.2796).

For the uncorrected formation energy, the calculation gives -745 meV/atom. The polymorph energy (0 for the lowest one) comes out at 0 meV/atom.

=====

Below is an optimized crystal structure of U2SnRu2, with properties calculated at the PBEsol level.

It has space group P4/mbm (No. 127), with a = 7.455 Å, b = 7.455 Å, c = 3.430 Å, α = 90.00°, β = 90.00° and γ = 90.00°. The asymmetric unit holds U at (0.166, 0.334, 0.000), Sn at (0.000, 0.000, 0.500) and Ru at (0.137, 0.637, 0.500).

As for the formation energy from the elements: -0.23 eV per atom.

=====

Below is an optimized crystal structure of Sb2PbAu, with properties calculated at the PBEsol level.

It has space group P2/m (No. 10), with a = 5.099 Å, b = 4.157 Å, c = 5.277 Å, α = 90.00°, β = 110.00° and γ = 90.00°. The asymmetric unit holds Sb at (0.212, 0.000, 0.288), Pb at (0.500, 0.500, 0.000) and Au at (0.000, 0.500, 0.500).

For the uncorrected formation energy, the calculation gives -29 meV/atom.

=====

Below is an optimized crystal structure of ScIn3Au, with properties calculated at the PBEsol level.

It has space group Pm-3m (No. 221), with a = 5.404 Å, b = 5.404 Å, c = 5.404 Å, α = 90.00°, β = 90.00° and γ = 90.00°. The asymmetric unit holds Sc at (0.000, 0.000, 0.000), In at (0.000, 0.000, 0.500) and Au at (0.500, 0.500, 0.500).

As for the formation energy from the elements: 0.82 eV per atom.

=====

Below is an optimized crystal structure of Rb2NaTiS, with properties calculated at the PBEsol level.

It has space group P4/mmm (No. 123), with a = 7.101 Å, b = 7.101 Å, c = 4.576 Å, α = 90.00°, β = 90.00° and γ = 90.00°. The asymmetric unit holds Rb at (0.000, 0.500, 0.000), Na at (0.000, 0.000, 0.500), Ti at (0.500, 0.500, 0.000) and S at (0.500, 0.500, 0.500).

For the uncorrected formation energy, the calculation gives 42 meV/atom. The polymorph energy (0 for the lowest one) comes out at 0 meV/atom.

=====

Below is an optimized crystal structure of Mn4Cu, with properties calculated at the PBEsol level.

It has space group R-3m (No. 166, hexagonal axes), with a = 2.4492 Å, b = 2.4492 Å, c = 30.4770 Å, α = 90.00°, β = 90.00° and γ = 120.00°. The asymmetric unit holds Mn at (0.0000, 0.0000, 0.0962), Mn at (0.0000, 0.0000, 0.2994) and Cu at (0.0000, 0.0000, 0.5000).

As for the formation energy from the elements: 0.14 eV per atom.

=====

Below is an optimized crystal structure of Zr2HgPb, with properties calculated at the PBEsol level.

It has space group P2/m (No. 10), with a = 3.175 Å, b = 4.270 Å, c = 6.350 Å, α = 90.00°, β = 90.14° and γ = 90.00°. The asymmetric unit holds Zr at (0.000, 0.000, 0.242), Hg at (0.500, 0.500, 0.000) and Pb at (0.500, 0.500, 0.500).

As for the formation energy from the elements: -0.26 eV per atom. The polymorph energy (0 for the lowest one) comes out at 14 meV/atom.

=====

Below is an optimized crystal structure of La2RhCl, with properties calculated at the PBEsol level.

It has space group P4/mmm (No. 123), with a = 3.420 Å, b = 3.420 Å, c = 7.903 Å, α = 90.00°, β = 90.00° and γ = 90.00°. The asymmetric unit holds La at (0.000, 0.000, 0.224), Rh at (0.500, 0.500, 0.000) and Cl at (0.500, 0.500, 0.500).

For the uncorrected formation energy, the calculation gives -1078 meV/atom. The polymorph energy (0 for the lowest one) comes out at 154 meV/atom.

=====

Below is an optimized crystal structure of MgCdHg2, with properties calculated at the PBEsol level.

It has space group P2/m (No. 10), with a = 3.429 Å, b = 3.629 Å, c = 6.768 Å, α = 90.00°, β = 90.11° and γ = 90.00°. The asymmetric unit holds Mg at (0.000, 0.000, 0.000), Cd at (0.000, 0.000, 0.500) and Hg at (0.499, 0.500, 0.760).

As for the formation energy from the elements: -0.15 eV per atom.

=====

Below is an optimized crystal structure of TiGeW2Br, with properties calculated at the PBEsol level.

It has space group P4/mmm (No. 123), with a = 4.697 Å, b = 4.697 Å, c = 4.718 Å, α = 90.00°, β = 90.00° and γ = 90.00°. The asymmetric unit holds Ti at (0.000, 0.000, 0.000), Ge at (0.000, 0.000, 0.500), W at (0.000, 0.500, 0.000) and Br at (0.500, 0.500, 0.500).

For the uncorrected formation energy, the calculation gives 1843 meV/atom.

=====

Below is an optimized crystal structure of NaCdSi3, with properties calculated at the PBEsol level.

It has space group Pm-3m (No. 221), with a = 4.884 Å, b = 4.884 Å, c = 4.884 Å, α = 90.00°, β = 90.00° and γ = 90.00°. The asymmetric unit holds Na at (0.000, 0.000, 0.000), Cd at (0.500, 0.500, 0.500) and Si at (0.000, 0.000, 0.500).

For the uncorrected formation energy, the calculation gives 1422 meV/atom.

=====

Below is an optimized crystal structure of Cd5Cu, with properties calculated at the PBEsol level.

It has space group Cmmm (No. 65), with a = 4.173 Å, b = 12.699 Å, c = 4.291 Å, α = 90.00°, β = 90.00° and γ = 90.00°. The asymmetric unit holds Cd at (0.000, 0.000, 0.000), Cd at (0.000, 0.159, 0.500), Cd at (0.000, 0.339, 0.000) and Cu at (0.000, 0.500, 0.500).

As for the formation energy from the elements: 0.07 eV per atom. The polymorph energy (0 for the lowest one) comes out at 31 meV/atom.

=====

Below is an optimized crystal structure of ScCrIN2, with properties calculated at the PBEsol level.

It has space group P4/mmm (No. 123), with a = 4.073 Å, b = 4.073 Å, c = 5.824 Å, α = 90.00°, β = 90.00° and γ = 90.00°. The asymmetric unit holds Sc at (0.000, 0.000, 0.000), Cr at (0.500, 0.500, 0.500), I at (0.000, 0.000, 0.500) and N at (0.000, 0.500, 0.000).

For the uncorrected formation energy, the calculation gives 747 meV/atom.

=====

Below is an optimized crystal structure of NbAl3Fe, with properties calculated at the PBEsol level.

It has space group Pm-3m (No. 221), with a = 4.336 Å, b = 4.336 Å, c = 4.336 Å, α = 90.00°, β = 90.00° and γ = 90.00°. The asymmetric unit holds Nb at (0.000, 0.000, 0.000), Al at (0.000, 0.500, 0.500) and Fe at (0.500, 0.500, 0.500).

As for the formation energy from the elements: 0.35 eV per atom.

=====

Below is an optimized crystal structure of KCd2Tc, with properties calculated at the PBEsol level.

It has space group Imm2 (No. 44), with a = 2.759 Å, b = 5.455 Å, c = 11.462 Å, α = 90.00°, β = 90.00° and γ = 90.00°. The asymmetric unit holds K at (0.000, 0.000, 0.000), Cd at (0.000, 0.000, 0.471), Cd at (0.000, 0.500, 0.216) and Tc at (0.000, 0.500, 0.765).

As for the formation energy from the elements: 0.72 eV per atom. The polymorph energy (0 for the lowest one) comes out at 180 meV/atom.

=====

Below is an optimized crystal structure of CdAgW2, with properties calculated at the PBEsol level.

It has space group Imm2 (No. 44), with a = 3.218 Å, b = 4.734 Å, c = 8.960 Å, α = 90.00°, β = 90.00° and γ = 90.00°. The asymmetric unit holds Cd at (0.000, 0.000, 0.000), Ag at (0.000, 0.500, 0.248), W at (0.000, 0.000, 0.485) and W at (0.000, 0.500, 0.772).

As for the formation energy from the elements: 0.67 eV per atom.

=====

Below is an optimized crystal structure of SrAs2OsPd, with properties calculated at the PBEsol level.

It has space group P4/mmm (No. 123), with a = 4.644 Å, b = 4.644 Å, c = 5.788 Å, α = 90.00°, β = 90.00° and γ = 90.00°. The asymmetric unit holds Sr at (0.000, 0.000, 0.000), As at (0.000, 0.500, 0.500), Os at (0.000, 0.000, 0.500) and Pd at (0.500, 0.500, 0.000).

As for the formation energy from the elements: 0.40 eV per atom.

=====

Number 1: spin magnetization 0.00 μB/atom. Number 2: spin magnetization 0.23 μB/atom. Number 3: spin magnetization 0.89 μB/atom. Number 4: spin magnetization 1.24 μB/atom. Number 5: spin magnetization 0.00 μB/atom. Number 6: spin magnetization 0.00 μB/atom. Number 7: spin magnetization 0.11 μB/atom. Number 8: spin magnetization 0.53 μB/atom. Number 9: spin magnetization 0.00 μB/atom. Number 10: spin magnetization 0.00 μB/atom. Number 11: spin magnetization 0.00 μB/atom. Number 12: spin magnetization 0.00 μB/atom. Number 13: spin magnetization 0.27 μB/atom. Number 14: spin magnetization 0.00 μB/atom. Number 15: spin magnetization 0.00 μB/atom. Number 16: spin magnetization 0.76 μB/atom. Number 17: spin magnetization 0.35 μB/atom. Number 18: spin magnetization 0.11 μB/atom. Number 19: spin magnetization 0.00 μB/atom. Number 20: spin magnetization 0.00 μB/atom.